Compound: AcSnSe2O
Source: Alexandria via LeMat-Bulk
Functional: GGA-PBE
Structure: relaxed

Cell lengths 4.211, 4.211, 14.139 Å; angles 90.00, 90.00, 90.00 degrees
Atoms (fractional coordinates):
Ac1 0.250 0.250 0.093
Ac2 0.750 0.750 0.907
Sn1 0.250 0.250 0.610
Sn2 0.750 0.750 0.390
Se1 0.250 0.250 0.395
Se2 0.250 0.250 0.794
Se3 0.750 0.750 0.206
Se4 0.750 0.750 0.605
O1 0.250 0.750 0.000
O2 0.750 0.250 0.000

Properties
- Energy relative to the elements, uncorrected: -1695 meV/atom
- SG: P4/nmm
- Total magnetic moment: 0.00 μB/cell
- E: -57.0 eV for the cell shown
- DOS at the Fermi energy: 2.9 states/eV/cell

***

Compound: Ca3U5O12
Source: Alexandria via LeMat-Bulk
Functional: GGA-PBE
Structure: relaxed

Cell lengths 11.952, 11.952, 11.952 Å; angles 109.47, 109.47, 109.47 degrees
Atoms (fractional coordinates):
Ca1 0.125 0.250 0.375
Ca2 0.125 0.375 0.750
Ca3 0.250 0.375 0.125
Ca4 0.250 0.875 0.625
Ca5 0.375 0.125 0.250
Ca6 0.375 0.750 0.125
Ca7 0.625 0.250 0.875
Ca8 0.625 0.875 0.750
Ca9 0.750 0.125 0.375
Ca10 0.750 0.625 0.875
Ca11 0.875 0.625 0.250
Ca12 0.875 0.750 0.625
U1 0.000 0.000 0.000
U2 0.000 0.000 0.500
U3 0.000 0.500 0.000
U4 0.000 0.500 0.500
U5 0.125 0.750 0.875
U6 0.125 0.875 0.250
U7 0.250 0.125 0.875
U8 0.250 0.625 0.375
U9 0.375 0.250 0.625
U10 0.375 0.625 0.750
U11 0.500 0.000 0.000
U12 0.500 0.000 0.500
U13 0.500 0.500 0.000
U14 0.500 0.500 0.500
U15 0.625 0.375 0.250
U16 0.625 0.750 0.375
U17 0.750 0.375 0.625
U18 0.750 0.875 0.125
U19 0.875 0.125 0.750
U20 0.875 0.250 0.125
O1 0.035 0.206 0.131
O2 0.035 0.329 0.903
O3 0.075 0.706 0.671
O4 0.075 0.869 0.403
O5 0.097 0.631 0.425
O6 0.097 0.965 0.671
O7 0.131 0.035 0.206
O8 0.131 0.597 0.925
O9 0.171 0.206 0.575
O10 0.171 0.465 0.597
O11 0.206 0.131 0.035
O12 0.206 0.575 0.171
O13 0.294 0.329 0.925
O14 0.294 0.465 0.369
O15 0.329 0.903 0.035
O16 0.329 0.925 0.294
O17 0.369 0.294 0.465
O18 0.369 0.575 0.903
O19 0.403 0.075 0.869
O20 0.403 0.829 0.535
O21 0.425 0.097 0.631
O22 0.425 0.829 0.794
O23 0.465 0.369 0.294
O24 0.465 0.597 0.171
O25 0.535 0.403 0.829
O26 0.535 0.631 0.706
O27 0.575 0.171 0.206
O28 0.575 0.903 0.369
O29 0.597 0.171 0.465
O30 0.597 0.925 0.131
O31 0.631 0.425 0.097
O32 0.631 0.706 0.535
O33 0.671 0.075 0.706
O34 0.671 0.097 0.965
O35 0.706 0.535 0.631
O36 0.706 0.671 0.075
O37 0.794 0.425 0.829
O38 0.794 0.869 0.965
O39 0.829 0.535 0.403
O40 0.829 0.794 0.425
O41 0.869 0.403 0.075
O42 0.869 0.965 0.794
O43 0.903 0.035 0.329
O44 0.903 0.369 0.575
O45 0.925 0.131 0.597
O46 0.925 0.294 0.329
O47 0.965 0.671 0.097
O48 0.965 0.794 0.869

Properties
- Energy relative to the elements, uncorrected: -2917 meV/atom
- SG: Ia-3d
- Total magnetic moment: 37.56 μB/cell
- E: -721.1 eV for the cell shown
- DOS at the Fermi energy: 93.7 states/eV/cell

***

Compound: Ag3Pb2
Source: Alexandria via LeMat-Bulk
Functional: GGA-PBE
Structure: relaxed

Cell lengths 3.345, 3.345, 35.873 Å; angles 90.00, 90.00, 120.00 degrees
Atoms (fractional coordinates):
Ag1 0.000 0.000 0.000
Ag2 0.000 0.000 0.196
Ag3 0.000 0.000 0.804
Ag4 0.333 0.667 0.471
Ag5 0.333 0.667 0.667
Ag6 0.333 0.667 0.863
Ag7 0.667 0.333 0.137
Ag8 0.667 0.333 0.333
Ag9 0.667 0.333 0.529
Pb1 0.000 0.000 0.402
Pb2 0.000 0.000 0.598
Pb3 0.333 0.667 0.069
Pb4 0.333 0.667 0.264
Pb5 0.667 0.333 0.736
Pb6 0.667 0.333 0.931

Properties
- ΔE_f: 0.116 eV/atom
- SG: R-3m
- Total magnetic moment: 0.00 μB/cell
- ΔE to the lowest computed polymorph: 37 meV per atom
- E: -46.2 eV for the cell shown
- DOS at the Fermi energy: 3.8 states/eV/cell

***

Compound: LiTbSc2Cd4
Source: Alexandria via LeMat-Bulk
Functional: GGA-PBE
Structure: relaxed

Cell lengths 8.840, 8.840, 8.840 Å; angles 32.93, 32.93, 32.93 degrees
Atoms (fractional coordinates):
Li1 0.000 0.000 0.000
Tb1 0.500 0.500 0.500
Sc1 0.252 0.252 0.252
Sc2 0.748 0.748 0.748
Cd1 0.116 0.116 0.116
Cd2 0.372 0.372 0.372
Cd3 0.628 0.628 0.628
Cd4 0.884 0.884 0.884

Properties
- ΔE_f: -0.250 eV/atom
- SG: R-3m
- Total magnetic moment: 0.00 μB/cell
- E: -24.9 eV for the cell shown
- DOS at the Fermi energy: 7.7 states/eV/cell

***

Compound: YZn12Ni4
Source: Alexandria via LeMat-Bulk
Functional: GGA-PBE
Structure: relaxed

Cell lengths 7.281, 7.281, 7.281 Å; angles 109.47, 109.47, 109.47 degrees
Atoms (fractional coordinates):
Y1 0.000 0.000 0.000
Zn1 0.163 0.510 0.346
Zn2 0.163 0.817 0.654
Zn3 0.183 0.346 0.837
Zn4 0.346 0.163 0.510
Zn5 0.346 0.837 0.183
Zn6 0.490 0.654 0.837
Zn7 0.510 0.346 0.163
Zn8 0.654 0.163 0.817
Zn9 0.654 0.837 0.490
Zn10 0.817 0.654 0.163
Zn11 0.837 0.183 0.346
Zn12 0.837 0.490 0.654
Ni1 0.000 0.000 0.500
Ni2 0.000 0.500 0.000
Ni3 0.500 0.000 0.000
Ni4 0.500 0.500 0.500

Properties
- ΔE_f: 0.122 eV/atom
- SG: Im-3
- Total magnetic moment: 0.00 μB/cell
- E: -42.8 eV for the cell shown
- DOS at the Fermi energy: 10.2 states/eV/cell

***

Compound: CaMo2Ru
Source: Alexandria via LeMat-Bulk
Functional: GGA-PBE
Structure: relaxed

Cell lengths 2.912, 4.199, 6.222 Å; angles 90.00, 100.87, 90.00 degrees
Atoms (fractional coordinates):
Ca1 0.000 0.000 0.000
Mo1 0.516 0.000 0.512
Mo2 0.728 0.500 0.321
Ru1 0.276 0.500 0.705

Properties
- ΔE_f: 0.468 eV/atom
- SG: Pm
- Total magnetic moment: 0.00 μB/cell
- ΔE to the lowest computed polymorph: 57 meV per atom
- E: -31.1 eV for the cell shown
- DOS at the Fermi energy: 4.9 states/eV/cell

***

Compound: TaCo2Os2
Source: Alexandria via LeMat-Bulk
Functional: GGA-PBE
Structure: relaxed

Cell lengths 7.063, 7.063, 2.722 Å; angles 90.00, 90.00, 90.00 degrees
Atoms (fractional coordinates):
Ta1 0.000 0.000 0.000
Ta2 0.500 0.500 0.000
Co1 0.118 0.382 0.000
Co2 0.382 0.882 0.000
Co3 0.618 0.118 0.000
Co4 0.882 0.618 0.000
Os1 0.177 0.677 0.500
Os2 0.323 0.177 0.500
Os3 0.677 0.823 0.500
Os4 0.823 0.323 0.500

Properties
- ΔE_f: 0.054 eV/atom
- SG: P4/mbm
- Total magnetic moment: 0.00 μB/cell
- ΔE to the lowest computed polymorph: 0 meV per atom
- E: -96.5 eV for the cell shown
- DOS at the Fermi energy: 13.9 states/eV/cell